[1]
First-principles (GGA-PBE) data for a relaxed NaTcB3 crystal, as listed in Alexandria.

Results
* mass density: 4.085 g/cm³
* total magnetic moment: 0.00 μB per formula unit
* excess energy over the best structure of this formula in the dataset: 2373 meV/atom
* energy relative to the elements: 3032 meV/atom

Cell: 3.9655 3.9655 3.9655 Å, 90.00 90.00 90.00°
With the nearest neighbours (Å) after each atom.
Fractional coordinates of all 5 atoms:
1 Na 0.0000 0.0000 0.0000  6 B 1.98
2 B 0.0000 0.5000 0.0000  2 Na 1.98
3 B 0.0000 0.0000 0.5000  2 Na 1.98
4 B 0.5000 0.0000 0.0000  2 Na 1.98
5 Tc 0.5000 0.5000 0.5000  12 B 2.80



[2]
First-principles (GGA-PBE) data for a relaxed LaTbSmTh crystal, as listed in Alexandria.

Results
* mass density: 8.355 g/cm³
* total magnetic moment: 0.00 μB per formula unit
* excess energy over the best structure of this formula in the dataset: 125 meV/atom
* energy relative to the elements: 149 meV/atom

Cell: 5.7609 5.7609 5.7609 Å, 60.00 60.00 60.00°
With the nearest neighbours (Å) after each atom.
Fractional coordinates of all 4 atoms:
1 Tb 0.7500 0.7500 0.7500  4 La 3.53, 4 Th 3.53
2 Sm 0.2500 0.2500 0.2500  4 La 3.53, 4 Th 3.53
3 Th 0.0000 0.0000 0.0000  4 Tb 3.53, 4 Sm 3.53
4 La 0.5000 0.5000 0.5000  4 Tb 3.53, 4 Sm 3.53



Question: Which of these has the highest mass density?
Answer: LaTbSmTh



Question: Which of these has the highest mass density?
Answer: LaTbSmTh